No. 1
This record from Alexandria via LeMat-Bulk describes a relaxed structure of Ce2EuTl. The functional is GGA-PBE.

Summary:
Its calculated formation energy is 0.14 eV/atom. The calculation puts the magnetization at 5.8 μB per formula unit. The energy comes out at -71.8 eV per cell. For the volume, the calculation gives 362.5 Å³/cell.

```
data_Ce2EuTl
_chemical_formula_sum 'Ce6 Eu3 Tl3'
_space_group_name_H-M_alt 'R -3 m'
_space_group_IT_number 166
_space_group_name_Hall '-R 3 2"'
_cell_length_a 3.3686
_cell_length_b 3.3686
_cell_length_c 36.8858
_cell_angle_alpha 90.00
_cell_angle_beta 90.00
_cell_angle_gamma 120.00
loop_
_atom_site_label
_atom_site_type_symbol
_atom_site_fract_x
_atom_site_fract_y
_atom_site_fract_z
Ce1 Ce 0.0000 0.0000 0.0906
Eu1 Eu 0.0000 0.0000 0.0000
Tl1 Tl 0.0000 0.0000 0.5000
```

***

No. 2
This record from Alexandria via LeMat-Bulk describes a relaxed structure of Ba6Hg2HPt. The functional is GGA-PBE.

Summary:
The calculation puts the magnetization at 0.0 μB per formula unit. The energy comes out at -52.4 eV per cell. For the volume, the calculation gives 807.3 Å³/cell.

```
data_Ba6Hg2HPt
_chemical_formula_sum 'Ba12 Hg4 H2 Pt2'
_space_group_name_H-M_alt 'P 1 21/c 1'
_space_group_IT_number 14
_cell_length_a 7.9731
_cell_length_b 8.7089
_cell_length_c 14.0504
_cell_angle_alpha 90.00
_cell_angle_beta 124.16
_cell_angle_gamma 90.00
loop_
_space_group_symop_operation_xyz
'x,y,z'
'-x,-y,-z'
'-x,y+1/2,-z+1/2'
'x,-y+1/2,z+1/2'
loop_
_atom_site_label
_atom_site_type_symbol
_atom_site_fract_x
_atom_site_fract_y
_atom_site_fract_z
Ba1 Ba 0.1237 0.1872 0.4411
Ba2 Ba 0.2659 0.6858 0.4423
Ba3 Ba 0.3734 0.0239 0.2545
Hg1 Hg 0.2069 0.1039 0.7503
H1 H 0.5000 0.0000 0.5000
Pt1 Pt 0.0000 0.0000 0.0000
```

***

No. 3
This record from Alexandria via LeMat-Bulk describes a relaxed structure of LiNp2B2Ir5. The functional is GGA-PBE.

Summary:
Its calculated formation energy is -0.32 eV/atom. The calculation puts the magnetization at 5.8 μB per formula unit. The energy comes out at -177.3 eV per cell. For the volume, the calculation gives 291.7 Å³/cell.

```
data_LiNp2B2Ir5
_chemical_formula_sum 'Li2 Np4 B4 Ir10'
_space_group_name_H-M_alt 'P 4/m b m'
_space_group_IT_number 127
_space_group_name_Hall '-P 4 2ab'
_cell_length_a 9.4899
_cell_length_b 9.4899
_cell_length_c 3.2392
_cell_angle_alpha 90.00
_cell_angle_beta 90.00
_cell_angle_gamma 90.00
loop_
_atom_site_label
_atom_site_type_symbol
_atom_site_fract_x
_atom_site_fract_y
_atom_site_fract_z
Li1 Li 0.0000 0.0000 0.0000
Np1 Np 0.1783 0.3217 0.0000
B1 B 0.1233 0.6233 0.0000
Ir1 Ir 0.0000 0.5000 0.5000
Ir2 Ir 0.0684 0.7818 0.5000
```

***

No. 4
This record from Alexandria via LeMat-Bulk describes a relaxed structure of Cs2KScI6. The functional is GGA-PBE.

Summary:
As for the formation energy (no corrections): -1.410 eV/atom. The calculation puts the magnetization at 0.0 μB per formula unit. The energy comes out at -130.2 eV per cell. For the volume, the calculation gives 1978.7 Å³/cell.

```
data_Cs2KScI6
_chemical_formula_sum 'Cs8 K4 Sc4 I24'
_space_group_name_H-M_alt 'F m -3 m'
_space_group_IT_number 225
_space_group_name_Hall '-F 4 2 3'
_cell_length_a 12.5544
_cell_length_b 12.5544
_cell_length_c 12.5544
_cell_angle_alpha 90.00
_cell_angle_beta 90.00
_cell_angle_gamma 90.00
loop_
_atom_site_label
_atom_site_type_symbol
_atom_site_fract_x
_atom_site_fract_y
_atom_site_fract_z
Cs1 Cs 0.2500 0.2500 0.2500
K1 K 0.0000 0.0000 0.0000
Sc1 Sc 0.0000 0.0000 0.5000
I1 I 0.0000 0.0000 0.2695
```